Density functional theory data (GGA-PBEsol) for a relaxed GaTe2Pd crystal.

```
GaTe2Pd
1.0
-3.042 3.042 6.009
3.042 -3.042 6.009
3.042 3.042 -6.009
Ga Te Pd
2 4 2
direct
0.000 0.000 0.000
0.750 0.250 0.500
0.135 0.625 0.010
0.375 0.385 0.510
0.615 0.125 0.990
0.875 0.865 0.490
0.250 0.750 0.500
0.500 0.500 0.000
```

* formation energy from raw total energies: -0.227 eV per atom

---

Density functional theory data (GGA-PBEsol) for a relaxed HfZnSe2 crystal.

```
HfZnSe2
1.0
1.797 1.037 8.464
-1.797 1.037 8.464
0.000 -2.075 8.464
Hf Zn Se
1 1 2
direct
0.000 0.000 0.000
0.500 0.500 0.500
0.398 0.398 0.398
0.602 0.602 0.602
```

* formation energy from raw total energies: -0.744 eV per atom

---

Density functional theory data (GGA-PBEsol) for a relaxed La2InSi crystal.

```
La2InSi
1.0
4.215 0.000 0.000
0.000 2.295 5.803
0.000 -2.295 5.803
La In Si
2 1 1
direct
0.000 0.000 0.000
0.500 0.287 0.287
0.500 0.577 0.577
0.000 0.725 0.725
```

* formation energy from raw total energies: -0.595 eV per atom

---

Density functional theory data (GGA-PBEsol) for a relaxed GaAgSeN2 crystal.

```
GaAgSeN2
1.0
3.996 0.000 0.000
0.000 3.996 0.000
0.000 0.000 5.428
Ga Ag Se N
1 1 1 2
direct
0.000 0.000 0.000
0.500 0.500 0.500
0.500 0.500 0.000
0.000 0.500 0.500
0.500 0.000 0.500
```

* formation energy from raw total energies: 1.555 eV per atom

---

Density functional theory data (GGA-PBEsol) for a relaxed Li3Pt crystal.

```
Li3Pt
1.0
2.631 -3.655 0.000
2.631 3.655 0.000
0.000 0.000 2.822
Li Pt
3 1
direct
0.000 0.000 0.000
0.000 0.500 0.500
0.500 0.000 0.500
0.500 0.500 0.000
```

* E_form: -0.331 eV/atom
* excess energy over the best structure of this formula in the dataset: 23 meV per atom

---

Density functional theory data (GGA-PBEsol) for a relaxed HgRhCl2 crystal.

```
HgRhCl2
1.0
3.157 0.000 0.000
0.000 3.157 0.000
0.000 0.000 7.714
Hg Rh Cl
1 1 2
direct
0.000 0.000 0.000
0.500 0.500 0.239
0.000 0.000 0.410
0.500 0.500 0.777
```

* excess energy over the best structure of this formula in the dataset: 0 meV per atom
* formation energy from raw total energies: 0.090 eV per atom

---

Density functional theory data (GGA-PBEsol) for a relaxed Mg2ZrCu crystal.

```
Mg2ZrCu
1.0
2.998 0.000 0.000
0.000 2.998 0.000
0.000 0.000 8.099
Mg Zr Cu
2 1 1
direct
0.000 0.000 0.207
0.000 0.000 0.793
0.500 0.500 0.500
0.500 0.500 0.000
```

* E_form: 0.017 eV/atom

---

Density functional theory data (GGA-PBEsol) for a relaxed Er2FeC4 crystal.

```
Er2FeC4
1.0
-3.693 4.680 2.465
3.693 -4.680 2.465
3.693 4.680 -2.465
Er Fe C
4 2 8
direct
0.144 0.156 0.301
0.356 0.656 0.012
0.644 0.344 0.988
0.856 0.844 0.699
0.250 0.750 0.500
0.750 0.250 0.500
0.079 0.665 0.744
0.130 0.840 0.970
0.370 0.340 0.710
0.421 0.165 0.587
0.579 0.835 0.413
0.630 0.660 0.290
0.870 0.160 0.030
0.921 0.335 0.256
```

* E_form: -0.373 eV/atom

---

| no. | N(E_F) (states/eV/atom) | electronic total energy (eV/atom) |
| --- | --- | --- |
| 1 | 0.65 | -4.31 |
| 2 | 0.23 | -5.69 |
| 3 | 0.98 | -5.45 |
| 4 | 0.46 | -3.96 |
| 5 | 0.29 | -3.55 |
| 6 | 0.56 | -3.09 |
| 7 | 0.65 | -4.20 |
| 8 | 0.13 | -8.57 |